BaCaHg6Bi2 | Alexandria via LeMat-Bulk | GGA-PBE | relaxed; crystal system = monoclinic; electronic total energy = -1.671 eV/atom; E_form = -3.21 eV per formula unit; magnetization = 0.00 μB per atom; symmetry = C2/c, No. 15; density of states at the Fermi level = 0.24 states/eV/atom
1.0
9.3128 -0.9173 -0.7024
-2.0505 9.1304 -0.7024
-3.2396 -3.6638 7.9823
Ca Hg Bi Ba
2 12 4 2
direct
0.4392 0.5608 0.7500
0.5608 0.4392 0.2500
0.4658 0.7352 0.4670
0.7910 0.9716 0.0162
0.5862 0.1009 0.2241
0.8991 0.4138 0.2759
0.4138 0.8991 0.7759
0.2090 0.0284 0.9838
0.7352 0.4658 0.9670
0.2648 0.5342 0.0330
0.1009 0.5862 0.7241
0.5342 0.2648 0.5330
0.0284 0.2090 0.4838
0.9716 0.7910 0.5162
0.8165 0.6844 0.7358
0.1835 0.3156 0.2642
0.6844 0.8165 0.2358
0.3156 0.1835 0.7642
0.1422 0.8578 0.2500
0.8578 0.1422 0.7500